1.
# meta-GGA SCAN MgSc3, single point on PBEsol structure
# excess energy over the best structure of this formula in the dataset = 0.000 eV/atom
# E_form = -14 meV per atom
# crystal system = tetragonal
# electronic total energy = -11.936 eV per atom
# size of the total moment = 2.0 μB per formula unit
data_MgSc3
_chemical_formula_sum 'Mg1 Sc3'
_cell_length_a 3.246
_cell_length_b 3.246
_cell_length_c 8.857
_cell_angle_alpha 90.00
_cell_angle_beta 90.00
_cell_angle_gamma 90.00
_space_group_name_H-M_alt 'P 4/m m m'
_space_group_IT_number 123
_space_group_name_Hall '-P 4 2'
loop_
_atom_site_label
_atom_site_type_symbol
_atom_site_fract_x
_atom_site_fract_y
_atom_site_fract_z
_atom_site_occupancy
Mg1 Mg 0.000 0.000 0.000 1
Sc1 Sc 0.000 0.000 0.500 1
Sc2 Sc 0.500 0.500 0.251 1



2.
# meta-GGA SCAN MnFe4, single point on PBEsol structure
# excess energy over the best structure of this formula in the dataset = 0.159 eV/atom
# E_form = 192 meV per atom
# crystal system = tetragonal
# electronic total energy = -17.962 eV per atom
# size of the total moment = 5.5 μB per formula unit
data_MnFe4
_chemical_formula_sum 'Mn2 Fe8'
_cell_length_a 5.402
_cell_length_b 5.402
_cell_length_c 3.430
_cell_angle_alpha 90.00
_cell_angle_beta 90.00
_cell_angle_gamma 90.00
_space_group_name_H-M_alt 'I 4/m'
_space_group_IT_number 87
_space_group_name_Hall '-I 4'
loop_
_atom_site_label
_atom_site_type_symbol
_atom_site_fract_x
_atom_site_fract_y
_atom_site_fract_z
_atom_site_occupancy
Mn1 Mn 0.000 0.000 0.000 1
Fe1 Fe 0.100 0.699 0.500 1



3.
# meta-GGA SCAN Sr2CrO4, single point on PBEsol structure
# crystal system = tetragonal
# electronic total energy = -15.405 eV per atom
# size of the total moment = 2.0 μB per formula unit
data_Sr2CrO4
_chemical_formula_sum 'Sr4 Cr2 O8'
_cell_length_a 3.756
_cell_length_b 3.756
_cell_length_c 12.547
_cell_angle_alpha 90.00
_cell_angle_beta 90.00
_cell_angle_gamma 90.00
_space_group_name_H-M_alt 'I 4/m m m'
_space_group_IT_number 139
_space_group_name_Hall '-I 4 2'
loop_
_atom_site_label
_atom_site_type_symbol
_atom_site_fract_x
_atom_site_fract_y
_atom_site_fract_z
_atom_site_occupancy
Sr1 Sr 0.000 0.000 0.146 1
Cr1 Cr 0.000 0.000 0.500 1
O1 O 0.000 0.000 0.343 1
O2 O 0.000 0.500 0.000 1



4.
# meta-GGA SCAN Ni3Pb2SeS, single point on PBEsol structure
# crystal system = trigonal
# electronic total energy = -33.104 eV per atom
# size of the total moment = 0.0 μB per formula unit
data_Ni3Pb2SeS
_chemical_formula_sum 'Ni9 Pb6 Se3 S3'
_cell_length_a 5.5630
_cell_length_b 5.5630
_cell_length_c 13.8343
_cell_angle_alpha 90.00
_cell_angle_beta 90.00
_cell_angle_gamma 120.00
_space_group_name_H-M_alt 'R 3 m'
_space_group_IT_number 160
_space_group_name_Hall 'R 3 -2"'
loop_
_atom_site_label
_atom_site_type_symbol
_atom_site_fract_x
_atom_site_fract_y
_atom_site_fract_z
_atom_site_occupancy
Ni1 Ni 0.1693 0.3385 0.0000 1
Pb1 Pb 0.0000 0.0000 0.1640 1
Pb2 Pb 0.0000 0.0000 0.6592 1
Se1 Se 0.0000 0.0000 0.8836 1
S1 S 0.0000 0.0000 0.4387 1



Q: Which of these has the highest electronic total energy?
A: MgSc3



Q: What is the size of the total moment in the fourth record?
A: 0.0 μB per formula unit



Q: Which of these has the lowest electronic total energy?
A: Ni3Pb2SeS



Q: Among the records above, which one has the lowest electronic total energy?
A: Ni3Pb2SeS